(1)
DFT (GGA-PBE) results for a geometry-optimized HfFeAs structure.

a = 6.452 Å, b = 3.866 Å, c = 9.583 Å
α = 90.00°, β = 127.67°, γ = 90.00°
Site moments in Bohr magnetons follow the coordinates.
Element x y z (fractional)
Hf 0.694 0.000 0.943  -0.07
Hf 0.306 0.500 0.557  -0.07
Hf 0.306 0.000 0.057  -0.07
Hf 0.694 0.500 0.443  -0.07
As 0.720 0.000 0.675  0.00
As 0.720 0.500 0.175  0.00
As 0.280 0.000 0.325  0.00
As 0.280 0.500 0.825  0.00
Fe 0.930 0.000 0.352  1.62
Fe 0.930 0.500 0.852  1.62
Fe 0.070 0.000 0.648  1.62
Fe 0.070 0.500 0.148  1.62

Properties
* space group: C2/m (12)
* uncorrected energy: -98.74 eV/cell



(2)
DFT (GGA-PBE) results for a geometry-optimized Hf12FeAs6 structure.

a = 7.516 Å, b = 7.516 Å, c = 7.516 Å
α = 99.67°, β = 99.67°, γ = 99.67°
Element x y z (fractional)
As 0.129 0.648 0.321
As 0.871 0.352 0.679
As 0.321 0.129 0.648
As 0.352 0.679 0.871
As 0.648 0.321 0.129
As 0.679 0.871 0.352
Hf 0.815 0.587 0.446
Hf 0.008 0.682 0.929
Hf 0.185 0.413 0.554
Hf 0.682 0.929 0.008
Hf 0.413 0.554 0.185
Hf 0.446 0.815 0.587
Hf 0.587 0.446 0.815
Hf 0.929 0.008 0.682
Hf 0.071 0.992 0.318
Hf 0.554 0.185 0.413
Hf 0.318 0.071 0.992
Hf 0.992 0.318 0.071
Fe 0.000 0.000 0.000

Properties
* space group: R-3 (148)
* uncorrected energy: -164.15 eV/cell



(3)
DFT (GGA-PBE) results for a geometry-optimized HfFeAs structure.

a = 3.087 Å, b = 3.087 Å, c = 5.372 Å
α = 106.70°, β = 106.70°, γ = 90.00°
Site moments in Bohr magnetons follow the coordinates.
Element x y z (fractional)
Fe 0.929 0.929 0.859  1.10
As 0.312 0.312 0.625  -0.04
Hf 0.608 0.608 0.216  -0.02

Properties
* space group: I4mm (107)
* uncorrected energy: -23.85 eV/cell



(4)
DFT (GGA-PBE) results for a geometry-optimized HfFeAs structure.

a = 3.572 Å, b = 9.608 Å, c = 5.304 Å
α = 90.00°, β = 90.00°, γ = 90.00°
Element x y z (fractional)
As 0.000 0.404 0.750
As 0.000 0.596 0.250
As 0.500 0.904 0.750
As 0.500 0.096 0.250
Fe 0.000 0.000 0.000
Fe 0.000 0.000 0.500
Fe 0.500 0.500 0.000
Fe 0.500 0.500 0.500
Hf 0.500 0.194 0.750
Hf 0.000 0.306 0.250
Hf 0.500 0.806 0.250
Hf 0.000 0.694 0.750

Properties
* space group: Cmcm (63)
* uncorrected energy: -99.98 eV/cell



(5)
DFT (GGA-PBE) results for a geometry-optimized Hf2FeAs2 structure.

a = 6.183 Å, b = 6.183 Å, c = 4.317 Å
α = 90.00°, β = 90.00°, γ = 90.00°
Element x y z (fractional)
As 0.354 0.854 0.000
As 0.146 0.354 0.000
As 0.646 0.146 0.000
As 0.854 0.646 0.000
Hf 0.169 0.669 0.500
Hf 0.669 0.831 0.500
Hf 0.331 0.169 0.500
Hf 0.831 0.331 0.500
Fe 0.000 0.000 0.000
Fe 0.500 0.500 0.000

Properties
* space group: P4/mbm (127)
* uncorrected energy: -80.36 eV/cell



(6)
DFT (GGA-PBE) results for a geometry-optimized HfFeAs structure.

a = 3.897 Å, b = 6.401 Å, c = 7.194 Å
α = 90.00°, β = 90.00°, γ = 90.00°
Element x y z (fractional)
As 0.750 0.723 0.615
As 0.750 0.223 0.885
As 0.250 0.277 0.385
As 0.250 0.777 0.115
Fe 0.750 0.351 0.563
Fe 0.250 0.149 0.063
Fe 0.750 0.851 0.937
Fe 0.250 0.649 0.437
Hf 0.250 0.516 0.812
Hf 0.750 0.984 0.312
Hf 0.750 0.484 0.188
Hf 0.250 0.016 0.688

Properties
* space group: Pnma (62)
* uncorrected energy: -100.81 eV/cell



(7)
DFT (GGA-PBE) results for a geometry-optimized HfFeAs structure.

a = 3.783 Å, b = 3.783 Å, c = 7.142 Å
α = 105.36°, β = 105.36°, γ = 90.00°
Site moments in Bohr magnetons follow the coordinates.
Element x y z (fractional)
Fe 0.000 0.500 0.000  2.12
Fe 0.500 0.000 0.000  2.12
As 0.873 0.873 0.745  0.00
As 0.127 0.127 0.255  0.00
Hf 0.665 0.665 0.331  -0.06
Hf 0.335 0.335 0.669  -0.06

Properties
* space group: I4/mmm (139)
* uncorrected energy: -50.02 eV/cell



(8)
DFT (GGA-PBE) results for a geometry-optimized HfFeAs structure.

a = 3.794 Å, b = 3.794 Å, c = 6.376 Å
α = 90.00°, β = 90.00°, γ = 90.00°
Site moments in Bohr magnetons follow the coordinates.
Element x y z (fractional)
Fe 0.000 0.000 0.000  0.57
Fe 0.500 0.500 0.000  0.57
Hf 0.000 0.500 0.675  -0.02
Hf 0.500 0.000 0.325  -0.02
As 0.000 0.500 0.234  0.00
As 0.500 0.000 0.766  0.00

Properties
* space group: P4/nmm (129)
* uncorrected energy: -50.10 eV/cell